P | Entry from Alexandria via LeMat-Bulk: crystalline UPbS4 at its relaxed geometry (PBE).

D(E_F): 9.37 states/eV per cell
M_tot: 1.2 μB/cell

```
data_UPbS4
_cell_length_a 6.040
_cell_length_b 6.344
_cell_length_c 7.418
_cell_angle_alpha 90.00
_cell_angle_beta 90.00
_cell_angle_gamma 90.00
_symmetry_space_group_name_H-M 'P b a m'
_symmetry_Int_Tables_number 55
_symmetry_space_group_name_Hall '-P 2 2ab'
loop_
_atom_site_label
_atom_site_fract_x
_atom_site_fract_y
_atom_site_fract_z
U1 0.000 0.000 0.000
Pb1 0.000 0.000 0.500
S1 0.201 0.286 0.212
```

Q | Entry from Alexandria via LeMat-Bulk: crystalline UPbS4 at its relaxed geometry (PBE).

M_tot: 0.0 μB/cell

```
data_UPbS4
_cell_length_a 6.290
_cell_length_b 4.064
_cell_length_c 7.171
_cell_angle_alpha 90.00
_cell_angle_beta 93.44
_cell_angle_gamma 90.00
_symmetry_space_group_name_H-M 'P 1 2/m 1'
_symmetry_Int_Tables_number 10
_symmetry_space_group_name_Hall '-P 2y'
loop_
_atom_site_label
_atom_site_fract_x
_atom_site_fract_y
_atom_site_fract_z
U1 0.000 0.000 0.000
Pb1 0.000 0.500 0.500
S1 0.217 0.500 0.878
S2 0.227 0.000 0.294
```

Least stable: P